(1)
An optimized crystal structure of K2NaSn, computed with PBE-GGA.

Geometry as POSCAR:
```
K2NaSn
1.0
3.8148 0.0000 0.0000
1.9074 3.3037 0.0000
1.9074 1.1012 13.8850
Na K Sn
1 2 1
direct
0.5000 0.5000 0.5000 Na
0.0827 0.0827 0.7518 K
0.9173 0.9173 0.2482 K
0.0000 0.0000 0.0000 Sn
```

Values from the calculation:
The calculated total energy comes out at -1.66 eV per atom.

=====

(2)
An optimized crystal structure of Sm2Er4Cd, computed with PBE-GGA.

Geometry as POSCAR:
```
Sm2Er4Cd
1.0
3.5584 0.0000 0.0000
0.0000 8.1516 -0.1768
-1.7792 -4.0581 7.5708
Sm Er Cd
2 4 1
direct
0.7868 0.7035 0.5737 Sm
0.2132 0.2965 0.4263 Sm
0.8579 0.1836 0.7157 Er
0.1421 0.8164 0.2843 Er
0.5591 0.3841 0.1183 Er
0.4409 0.6159 0.8817 Er
0.0000 0.0000 0.0000 Cd
```

Values from the calculation:
The calculated total energy comes out at -4.09 eV per atom.

=====

(3)
An optimized crystal structure of CoAu2, computed with PBE-GGA.

Geometry as POSCAR:
```
CoAu2
1.0
2.2504 -3.8978 0.0000
2.2504 3.8978 0.0000
0.0000 0.0000 5.4842
Co Au
2 4
direct
0.3333 0.6667 0.7500 Co
0.6667 0.3333 0.2500 Co
0.0000 0.0000 0.0000 Au
0.0000 0.0000 0.5000 Au
0.3333 0.6667 0.2500 Au
0.6667 0.3333 0.7500 Au
```

Values from the calculation:
The calculated total energy comes out at -4.26 eV per atom.

=====

(4)
An optimized crystal structure of HgSbRh2, computed with PBE-GGA.

Geometry as POSCAR:
```
HgSbRh2
1.0
1.5866 5.0858 -0.3033
-1.5866 5.0858 -0.3033
0.0000 0.2721 4.4854
Hg Sb Rh
1 1 2
direct
0.2388 0.2388 0.1252 Hg
0.5072 0.5072 0.6248 Sb
0.9719 0.9719 0.1248 Rh
0.7821 0.7821 0.6252 Rh
```

Values from the calculation:
The value obtained for the raw formation energy is -0.062 eV/atom. The relative energy among the computed polymorphs comes out at 57 meV per atom.

=====

(5)
An optimized crystal structure of LiPr2SnO, computed with PBE-GGA.

Geometry as POSCAR:
```
LiPr2SnO
1.0
4.4338 0.0000 0.0000
0.0000 5.0063 0.0000
0.0000 0.0000 5.0063
Li Pr Sn O
1 2 1 1
direct
0.5000 0.0000 0.0000 Li
0.0000 0.0000 0.5000 Pr
0.0000 0.5000 0.0000 Pr
0.5000 0.5000 0.5000 Sn
0.0000 0.0000 0.0000 O
```

Values from the calculation:
The value obtained for the raw formation energy is -1.484 eV/atom.

=====

| no. | DOS(E_F) (states/eV/cell) |
| --- | --- |
| 1 | 2.88 |
| 2 | 9.71 |
| 3 | 11.93 |
| 4 | 3.49 |
| 5 | 2.00 |